A geometry-optimized SrLa2Mn3O9 structure. Source: Alexandria via LeMat-Bulk, functional PBE+U.

Lattice parameters (Å, degrees): 5.5897 5.5897 13.4602 90.00 90.00 120.00
With the nearest neighbours (Å) after each atom.
Fractional coordinates of all 30 atoms:
Sr  0.0000  0.0000  0.2500  9 O 2.54-2.83
Sr  0.0000  0.0000  0.7500  9 O 2.54-2.83
La  0.3333  0.6667  0.0850  3 O 2.45
La  0.3333  0.6667  0.5850  3 O 2.45
La  0.6667  0.3333  0.4150  3 O 2.45
La  0.6667  0.3333  0.9150  3 O 2.45
Mn  0.0000  0.0000  0.0000  6 O 1.99
Mn  0.0000  0.0000  0.5000  6 O 1.99
Mn  0.3333  0.6667  0.3328  6 O 1.98-2.01
Mn  0.3333  0.6667  0.8328  6 O 1.98-2.01
Mn  0.6667  0.3333  0.1672  6 O 1.98-2.01
Mn  0.6667  0.3333  0.6672  6 O 1.98-2.01
O  0.0000  0.4542  0.2500  2 Mn 1.98
O  0.0000  0.5458  0.7500  2 Mn 1.98
O  0.1079  0.3379  0.9201  2 Mn 1.99-2.01
O  0.1079  0.7701  0.4201  2 Mn 1.99-2.01
O  0.2299  0.3379  0.4201  2 Mn 1.99-2.01
O  0.2299  0.8921  0.9201  2 Mn 1.99-2.01
O  0.3379  0.1079  0.5799  2 Mn 1.99-2.01
O  0.3379  0.2299  0.0799  2 Mn 1.99-2.01
O  0.4542  0.0000  0.2500  2 Mn 1.98
O  0.4542  0.4542  0.7500  2 Mn 1.98
O  0.5458  0.0000  0.7500  2 Mn 1.98
O  0.5458  0.5458  0.2500  2 Mn 1.98
O  0.6621  0.7701  0.9201  2 Mn 1.99-2.01
O  0.6621  0.8921  0.4201  2 Mn 1.99-2.01
O  0.7701  0.1079  0.0799  2 Mn 1.99-2.01
O  0.7701  0.6621  0.5799  2 Mn 1.99-2.01
O  0.8921  0.2299  0.5799  2 Mn 1.99-2.01
O  0.8921  0.6621  0.0799  2 Mn 1.99-2.01

Values from the calculation:
- Excess energy over the best structure of this formula in the dataset: 0 meV/atom
- Crystal system: trigonal